# Zr2CrHg | Alexandria | GGA-PBE | optimized geometry
# - Calculated volume: 19.626 Å³ per atom
# - E_form: -0.01 eV/atom
# - Density of states at the Fermi level: 4.2 states/eV per cell
# - Raw total energy: -27.1 eV/cell
# - Distance to the lowest polymorph of the same formula: 0 kJ/mol of formula units
data_Zr2CrHg
_space_group_name_H-M_alt 'P 4/m m m'
_space_group_IT_number 123
_space_group_name_Hall '-P 4 2'
_cell_length_a 3.2776
_cell_length_b 3.2776
_cell_length_c 7.3076
_cell_angle_alpha 90.00
_cell_angle_beta 90.00
_cell_angle_gamma 90.00
loop_
_atom_site_label
_atom_site_fract_x
_atom_site_fract_y
_atom_site_fract_z
Zr1 0.0000 0.0000 0.2120
Cr1 0.5000 0.5000 0.0000
Hg1 0.5000 0.5000 0.5000